## Li4AcAu12 (PBE-GGA)

Data for crystalline Li4AcAu12 at its relaxed geometry.

Structure (extended XYZ):
```
17
Lattice="7.588 0.000 0.000 -2.529 7.154 0.000 -2.529 -3.577 6.195" Properties=species:S:1:pos:R:3 pbc="T T T"
Au 2.516 5.272 0.990
Au 2.543 -0.083 2.124
Au 4.132 -1.207 4.071
Au -0.926 0.655 3.114
Li 1.265 1.788 3.098
Li -1.265 3.577 0.000
Li 3.794 0.000 0.000
Li -1.265 -1.788 3.098
Au 0.926 3.024 0.990
Au -1.603 4.784 2.124
Ac 0.000 0.000 0.000
Au -0.013 3.660 4.071
Au 1.603 0.553 5.206
Au 0.013 -1.696 5.206
Au -2.516 1.779 5.061
Au 5.045 1.798 1.134
Au 3.456 2.922 3.081
```

Calculated values
V: 19.8 A^3/atom
total magnetic moment: 0.000 μB per atom
crystal system: cubic
calculated total energy: -52.92 eV/cell
calculated formation energy: -0.107 eV/atom